## MgScNiSn (PBE-GGA)

Data for crystalline MgScNiSn at its relaxed geometry.

Structure (extended XYZ):
```
16
Lattice="6.681 0.000 0.000 0.000 6.681 0.000 0.000 0.000 6.681" Properties=species:S:1:pos:R:3 pbc="T T T"
Mg 0.000 0.000 0.000
Mg 0.000 3.340 3.340
Mg 3.340 0.000 3.340
Mg 3.340 3.340 0.000
Sc 0.000 0.000 3.340
Sc 0.000 3.340 0.000
Sc 3.340 0.000 0.000
Sc 3.340 3.340 3.340
Ni 1.670 1.670 1.670
Ni 1.670 5.011 5.011
Ni 5.011 1.670 5.011
Ni 5.011 5.011 1.670
Sn 1.670 1.670 5.011
Sn 1.670 5.011 1.670
Sn 5.011 1.670 1.670
Sn 5.011 5.011 5.011
```

**D(E_F)**: 13.42 states/eV per cell
**E**: -4.74 eV per atom

=====

## Li3CuSi (PBE-GGA)

Data for crystalline Li3CuSi at its relaxed geometry.

Structure (extended XYZ):
```
5
Lattice="4.458 0.000 0.000 0.000 4.458 0.000 0.000 0.000 4.458" Properties=species:S:1:pos:R:3 pbc="T T T"
Li 0.000 0.000 2.229
Li 0.000 2.229 0.000
Li 2.229 0.000 0.000
Cu 0.000 0.000 0.000
Si 2.229 2.229 2.229
```

**Formation energy (no corrections)**: 387 meV per atom
**Energy above the lowest structure with this stoichiometry**: 0.4651 eV per atom
**D(E_F)**: 1.95 states/eV per cell
**E**: -2.66 eV per atom